1.
# DyErBi2Te2 (GGA-PBE, relaxed)
data_DyErBi2Te2
_chemical_formula_sum 'Dy1 Er1 Bi2 Te2'
_symmetry_space_group_name_H-M 'P 4 m m'
_symmetry_Int_Tables_number 99
_symmetry_space_group_name_Hall 'P 4 -2'
_cell_length_a 4.3790
_cell_length_b 4.3790
_cell_length_c 9.2752
_cell_angle_alpha 90.00
_cell_angle_beta 90.00
_cell_angle_gamma 90.00
loop_
_atom_site_label
_atom_site_type_symbol
_atom_site_fract_x
_atom_site_fract_y
_atom_site_fract_z
_atom_site_occupancy
Dy1 Dy 0.0000 0.0000 0.0000 1
Er1 Er 0.5000 0.5000 0.4305 1
Bi1 Bi 0.0000 0.5000 0.7152 1
Te1 Te 0.0000 0.0000 0.3410 1
Te2 Te 0.5000 0.5000 0.0911 1
# * mass density: 9.363 Mg/m³
# * calculated volume: 177.9 Å³ per cell
# * E_tot: -4.8896 eV/atom

2.
# Nb2CdB (GGA-PBE, relaxed)
data_Nb2CdB
_chemical_formula_sum 'Nb8 Cd4 B4'
_symmetry_space_group_name_H-M 'F -4 3 m'
_symmetry_Int_Tables_number 216
_symmetry_space_group_name_Hall 'F -4 2 3'
_cell_length_a 6.4016
_cell_length_b 6.4016
_cell_length_c 6.4016
_cell_angle_alpha 90.00
_cell_angle_beta 90.00
_cell_angle_gamma 90.00
loop_
_atom_site_label
_atom_site_type_symbol
_atom_site_fract_x
_atom_site_fract_y
_atom_site_fract_z
_atom_site_occupancy
Nb1 Nb 0.0000 0.0000 0.0000 1
Nb2 Nb 0.2500 0.2500 0.2500 1
Cd1 Cd 0.2500 0.2500 0.7500 1
B1 B 0.0000 0.0000 0.5000 1
# * mass density: 7.824 Mg/m³
# * calculated volume: 262.3 Å³ per cell
# * E_tot: -5.9334 eV/atom

3.
# YErTeC (GGA-PBE, relaxed)
data_YErTeC
_chemical_formula_sum 'Y2 Er2 Te2 C2'
_symmetry_space_group_name_H-M 'P 63 m c'
_symmetry_Int_Tables_number 186
_symmetry_space_group_name_Hall 'P 6c -2c'
_cell_length_a 3.8173
_cell_length_b 3.8173
_cell_length_c 13.9587
_cell_angle_alpha 90.00
_cell_angle_beta 90.00
_cell_angle_gamma 120.00
loop_
_atom_site_label
_atom_site_type_symbol
_atom_site_fract_x
_atom_site_fract_y
_atom_site_fract_z
_atom_site_occupancy
Y1 Y 0.3333 0.6667 0.0000 1
Er1 Er 0.3333 0.6667 0.6864 1
Te1 Te 0.3333 0.6667 0.3421 1
C1 C 0.0000 0.0000 0.0949 1
# * mass density: 7.462 Mg/m³
# * calculated volume: 176.2 Å³ per cell
# * E_tot: -6.7333 eV/atom

4.
# SmErNO (GGA-PBE, relaxed)
data_SmErNO
_chemical_formula_sum 'Sm2 Er2 N2 O2'
_symmetry_space_group_name_H-M 'P m m a'
_symmetry_Int_Tables_number 51
_symmetry_space_group_name_Hall '-P 2a 2a'
_cell_length_a 4.9426
_cell_length_b 4.0044
_cell_length_c 6.9344
_cell_angle_alpha 90.00
_cell_angle_beta 90.00
_cell_angle_gamma 90.00
loop_
_atom_site_label
_atom_site_type_symbol
_atom_site_fract_x
_atom_site_fract_y
_atom_site_fract_z
_atom_site_occupancy
Sm1 Sm 0.2500 0.0000 0.1615 1
Er1 Er 0.2500 0.5000 0.6713 1
N1 N 0.2500 0.0000 0.8206 1
O1 O 0.2500 0.5000 0.3488 1
# * mass density: 8.412 Mg/m³
# * calculated volume: 137.2 Å³ per cell
# * E_tot: -7.7967 eV/atom

5.
# ScBIr (GGA-PBE, relaxed)
data_ScBIr
_chemical_formula_sum 'Sc4 B4 Ir4'
_symmetry_space_group_name_H-M 'F -4 3 m'
_symmetry_Int_Tables_number 216
_symmetry_space_group_name_Hall 'F -4 2 3'
_cell_length_a 5.8510
_cell_length_b 5.8510
_cell_length_c 5.8510
_cell_angle_alpha 90.00
_cell_angle_beta 90.00
_cell_angle_gamma 90.00
loop_
_atom_site_label
_atom_site_type_symbol
_atom_site_fract_x
_atom_site_fract_y
_atom_site_fract_z
_atom_site_occupancy
Sc1 Sc 0.0000 0.0000 0.0000 1
B1 B 0.2500 0.2500 0.7500 1
Ir1 Ir 0.2500 0.2500 0.2500 1
# * mass density: 8.223 Mg/m³
# * calculated volume: 200.3 Å³ per cell
# * E_tot: -6.5919 eV/atom

6.
# MgTlRe (GGA-PBE, relaxed)
data_MgTlRe
_chemical_formula_sum 'Mg4 Tl4 Re4'
_symmetry_space_group_name_H-M 'I 4/m m m'
_symmetry_Int_Tables_number 139
_symmetry_space_group_name_Hall '-I 4 2'
_cell_length_a 3.2145
_cell_length_b 3.2145
_cell_length_c 22.8451
_cell_angle_alpha 90.00
_cell_angle_beta 90.00
_cell_angle_gamma 90.00
loop_
_atom_site_label
_atom_site_type_symbol
_atom_site_fract_x
_atom_site_fract_y
_atom_site_fract_z
_atom_site_occupancy
Mg1 Mg 0.0000 0.0000 0.1494 1
Tl1 Tl 0.0000 0.0000 0.4363 1
Re1 Re 0.0000 0.0000 0.2780 1
# * mass density: 11.674 Mg/m³
# * calculated volume: 236.1 Å³ per cell
# * E_tot: -5.2323 eV/atom

7.
# Pr2CoSi4Ni (GGA-PBE, relaxed)
data_Pr2CoSi4Ni
_chemical_formula_sum 'Pr4 Co2 Si8 Ni2'
_symmetry_space_group_name_H-M 'A m m 2'
_symmetry_Int_Tables_number 38
_symmetry_space_group_name_Hall 'A 2 -2'
_cell_length_a 4.0843
_cell_length_b 4.1874
_cell_length_c 16.3775
_cell_angle_alpha 90.00
_cell_angle_beta 90.00
_cell_angle_gamma 90.00
loop_
_atom_site_label
_atom_site_type_symbol
_atom_site_fract_x
_atom_site_fract_y
_atom_site_fract_z
_atom_site_occupancy
Pr1 Pr 0.0000 0.0000 0.0000 1
Pr2 Pr 0.5000 0.0000 0.2134 1
Co1 Co 0.0000 0.0000 0.7900 1
Si1 Si 0.0000 0.0000 0.3553 1
Si2 Si 0.0000 0.0000 0.6503 1
Si3 Si 0.5000 0.0000 0.5655 1
Si4 Si 0.5000 0.0000 0.8556 1
Ni1 Ni 0.5000 0.0000 0.4251 1
# * mass density: 6.068 Mg/m³
# * calculated volume: 280.1 Å³ per cell
# * E_tot: -6.2665 eV/atom

8.
# ReAsNO (GGA-PBE, relaxed)
data_ReAsNO
_chemical_formula_sum 'Re2 As2 N2 O2'
_symmetry_space_group_name_H-M 'P 4/n m m'
_symmetry_Int_Tables_number 129
_cell_length_a 3.8341
_cell_length_b 3.8341
_cell_length_c 6.9502
_cell_angle_alpha 90.00
_cell_angle_beta 90.00
_cell_angle_gamma 90.00
loop_
_symmetry_equiv_pos_as_xyz
'x,y,z'
'-x,-y,-z'
'-y+1/2,x,z'
'y+1/2,-x,-z'
'-x+1/2,-y+1/2,z'
'x+1/2,y+1/2,-z'
'y,-x+1/2,z'
'-y,x+1/2,-z'
'x+1/2,-y,-z'
'-x+1/2,y,z'
'-y,-x,-z'
'y,x,z'
'-x,y+1/2,-z'
'x,-y+1/2,z'
'y+1/2,x+1/2,-z'
'-y+1/2,-x+1/2,z'
loop_
_atom_site_label
_atom_site_type_symbol
_atom_site_fract_x
_atom_site_fract_y
_atom_site_fract_z
_atom_site_occupancy
Re1 Re 0.2500 0.7500 0.0000 1
As1 As 0.2500 0.2500 0.3591 1
N1 N 0.2500 0.2500 0.8890 1
O1 O 0.2500 0.7500 0.5000 1
# * mass density: 9.464 Mg/m³
# * calculated volume: 102.2 Å³ per cell
# * E_tot: -7.3583 eV/atom